1.
Here is an optimized crystal structure of DyTm2MgTl4 from the Alexandria database. Energies are from GGA-PBE.

Results
Space-group type: No. 166
Calculated formation energy: -0.26 eV per atom
DOS at the Fermi energy: 4.11 states/eV per cell

Unit cell a=5.228 b=5.228 c=9.345 alpha=73.76 beta=73.76 gamma=60.00
Positions (direct):
Dy 0.000 0.000 0.000
Tm 0.755 0.755 0.735
Tm 0.245 0.245 0.265
Mg 0.500 0.500 0.500
Tl 0.377 0.377 0.870
Tl 0.875 0.875 0.375
Tl 0.125 0.125 0.625
Tl 0.623 0.623 0.130

2.
Here is an optimized crystal structure of Te2IrW from the Alexandria database. Energies are from GGA-PBE.

Results
Energy above the most stable polymorph in this dataset: 0.475 eV/atom
Space-group type: No. 12
Formation energy from raw total energies: 0.6150 eV per atom
DOS at the Fermi energy: 2.71 states/eV per cell

Unit cell a=4.626 b=4.626 c=5.599 alpha=79.82 beta=79.82 gamma=41.27
Positions (direct):
Ir 0.250 0.250 0.250
Te 0.014 0.014 0.991
Te 0.486 0.486 0.509
W 0.750 0.750 0.750

3.
Here is an optimized crystal structure of NaCeAg2 from the Alexandria database. Energies are from GGA-PBE.

Results
Energy above the most stable polymorph in this dataset: 0.014 eV/atom
Space-group type: No. 225
Calculated formation energy: 0.01 eV per atom
DOS at the Fermi energy: 9.30 states/eV per cell

Unit cell a=5.185 b=5.185 c=5.185 alpha=60.00 beta=60.00 gamma=60.00
Last column: magnetic moment on the atom in μB.
Positions (direct):
Na 0.500 0.500 0.500  0.00
Ag 0.250 0.250 0.250  0.01
Ag 0.750 0.750 0.750  0.01
Ce 0.000 0.000 0.000  0.98

4.
Here is an optimized crystal structure of SmY2Er4 from the Alexandria database. Energies are from GGA-PBE.

Results
Energy above the most stable polymorph in this dataset: 0.087 eV/atom
Space-group type: No. 11
Calculated formation energy: 0.13 eV per atom
DOS at the Fermi energy: 24.21 states/eV per cell

Unit cell a=6.045 b=6.564 c=11.650 alpha=90.00 beta=106.64 gamma=90.00
Positions (direct):
Sm 0.179 0.750 0.138
Sm 0.821 0.250 0.862
Y 0.613 0.750 0.010
Y 0.387 0.250 0.990
Y 0.287 0.250 0.447
Y 0.713 0.750 0.553
Er 0.639 0.492 0.291
Er 0.984 0.750 0.838
Er 0.016 0.250 0.162
Er 0.639 0.008 0.291
Er 0.857 0.250 0.579
Er 0.361 0.992 0.709
Er 0.361 0.508 0.709
Er 0.143 0.750 0.421

5.
Here is an optimized crystal structure of Ce3Pu2S8 from the Alexandria database. Energies are from GGA-PBE.

Results
Space-group type: No. 65
Formation energy from raw total energies: -1.7272 eV per atom
DOS at the Fermi energy: 25.02 states/eV per cell

Unit cell a=4.678 b=9.727 c=8.312 alpha=125.81 beta=90.00 gamma=90.00
Last column: magnetic moment on the atom in μB.
Positions (direct):
Ce 0.500 0.000 0.000  0.68
Ce 0.000 0.282 0.000  0.64
Ce 0.000 0.718 0.000  0.64
Pu 0.500 0.263 0.527  5.09
Pu 0.500 0.737 0.473  5.09
S 0.000 0.628 0.256  -0.07
S 0.000 0.372 0.744  -0.07
S 0.000 0.120 0.240  -0.08
S 0.000 0.880 0.760  -0.08
S 0.500 0.634 0.752  -0.07
S 0.500 0.118 0.752  -0.07
S 0.500 0.882 0.248  -0.07
S 0.500 0.366 0.248  -0.07

6.
Here is an optimized crystal structure of Ba2LaCoOs from the Alexandria database. Energies are from GGA-PBE.

Results
Space-group type: No. 123
Calculated formation energy: 0.86 eV per atom
DOS at the Fermi energy: 14.03 states/eV per cell

Unit cell a=6.125 b=5.221 c=6.125 alpha=90.00 beta=90.00 gamma=90.00
Last column: magnetic moment on the atom in μB.
Positions (direct):
Co 0.500 0.500 0.500  0.08
Os 0.000 0.000 0.000  -0.01
Ba 0.000 0.000 0.500  0.01
Ba 0.500 0.000 0.000  0.01
La 0.000 0.500 0.000  0.01